DFT (GGA-PBEsol) results for a geometry-optimized CuNi2Ir structure.

* spin magnetization: 0.0 μB/cell
* total DFT energy (no corrections): -6.58 eV per atom

Cell: 2.6084 2.6084 6.8224 Å, 90.00 90.00 90.00°
Fractional coordinates of all 4 atoms:
Cu 0.5000 0.5000 0.0000
Ni 0.0000 0.0000 0.7570
Ni 0.0000 0.0000 0.2430
Ir 0.5000 0.5000 0.5000